Run i
## OsW2Br (GGA-PBE)

Data for a relaxed OsW2Br crystal.

Geometry as extended XYZ:
```
4
Lattice="-4.371 2.266 -0.852 -0.130 -3.798 3.244 0.531 1.843 2.180" Properties=species:S:1:pos:R:3 pbc="T T T"
Br -1.920 2.055 0.664
Os 0.200 -0.978 2.712
W 0.000 0.000 0.000
W -2.251 -0.766 1.196
```

Results
- N(E_F) (states/eV/cell) = 3.2



Run ii
## OsW2Br (GGA-PBE)

Data for a relaxed OsW2Br crystal.

Geometry as extended XYZ:
```
4
Lattice="2.853 0.000 0.000 -1.295 2.542 0.000 0.000 0.000 9.342" Properties=species:S:1:pos:R:3 pbc="T T T"
Os 0.779 1.271 7.007
W 0.000 0.000 4.810
W 0.000 0.000 9.203
Br 0.779 1.271 2.336
```

Results
- N(E_F) (states/eV/cell) = 3.5



Run iii
## OsW2Br (GGA-PBE)

Data for a relaxed OsW2Br crystal.

Geometry as extended XYZ:
```
4
Lattice="-1.426 -4.175 -0.898 -0.194 -3.069 3.289 -3.992 -1.396 1.544" Properties=species:S:1:pos:R:3 pbc="T T T"
W -4.209 -6.480 2.951
W -1.403 -2.160 0.984
Br 0.000 0.000 0.000
Os -2.806 -4.320 1.968
```

Results
- N(E_F) (states/eV/cell) = 3.4



Energetically preferred structure: run ii | next structure: +0.170 eV/atom



Run i
## OsW2Br (GGA-PBE)

Data for a relaxed OsW2Br crystal.

Geometry as extended XYZ:
```
4
Lattice="5.437 0.000 0.000 2.685 4.728 0.000 -3.482 -3.359 2.481" Properties=species:S:1:pos:R:3 pbc="T T T"
Br 4.048 2.356 0.000
W 1.806 1.968 1.240
W 8.026 4.672 0.000
Os 2.944 -0.534 1.241
```

Results
- N(E_F) (states/eV/cell) = 3.0



Run ii
## OsW2Br (GGA-PBE)

Data for a relaxed OsW2Br crystal.

Geometry as extended XYZ:
```
4
Lattice="3.659 0.000 0.000 0.000 2.940 0.010 0.000 -0.033 7.004" Properties=species:S:1:pos:R:3 pbc="T T T"
Os 1.830 2.180 5.261
W 0.000 0.758 6.554
W 0.000 0.663 3.957
Br 1.830 0.727 1.754
```

Results
- N(E_F) (states/eV/cell) = 4.8



Run iii
## OsW2Br (GGA-PBE)

Data for a relaxed OsW2Br crystal.

Geometry as extended XYZ:
```
4
Lattice="5.042 0.148 0.000 1.810 4.708 0.000 -3.426 -2.428 2.795" Properties=species:S:1:pos:R:3 pbc="T T T"
W 0.905 2.354 1.397
W 0.000 0.000 0.000
Os 2.521 0.074 1.397
Br 3.426 2.428 0.000
```

Results
- N(E_F) (states/eV/cell) = 4.6



Energetically preferred structure: run ii | next structure: +0.186 eV/atom